Entry 1:
## Pm2Ni12P3Rh (PBE)

Data for Pm2Ni12P3Rh after structural relaxation.

Symmetry: R-3m (166)
E_form: 0.023 eV/atom
Calculated volume: 284 Å³/cell

```
data_Pm2Ni12P3Rh
_cell_length_a 7.114
_cell_length_b 7.114
_cell_length_c 7.114
_cell_angle_alpha 65.34
_cell_angle_beta 65.34
_cell_angle_gamma 65.34
_symmetry_space_group_name_H-M 'P 1'
_symmetry_Int_Tables_number 1
loop_
_symmetry_equiv_pos_as_xyz
'x,y,z'
loop_
_atom_site_label
_atom_site_type_symbol
_atom_site_fract_x
_atom_site_fract_y
_atom_site_fract_z
Pm1 Pm 0.610 0.610 0.610
Pm2 Pm 0.390 0.390 0.390
Ni1 Ni 0.340 0.340 0.898
Ni2 Ni 0.871 0.871 0.380
Ni3 Ni 0.380 0.871 0.871
Ni4 Ni 0.898 0.340 0.340
Ni5 Ni 0.871 0.380 0.871
Ni6 Ni 0.340 0.898 0.340
Ni7 Ni 0.660 0.660 0.102
Ni8 Ni 0.129 0.129 0.620
Ni9 Ni 0.620 0.129 0.129
Ni10 Ni 0.102 0.660 0.660
Ni11 Ni 0.129 0.620 0.129
Ni12 Ni 0.660 0.102 0.660
P1 P 0.500 0.000 0.000
P2 P 0.000 0.500 0.000
P3 P 0.000 0.000 0.500
Rh1 Rh 0.000 0.000 0.000
```

=====

Entry 2:
## LaPr6Dy4 (PBE)

Data for LaPr6Dy4 after structural relaxation.

Symmetry: P-6m2 (187)
E_form: 0.149 eV/atom
Calculated volume: 395 Å³/cell

```
data_LaPr6Dy4
_cell_length_a 3.621
_cell_length_b 11.225
_cell_length_c 11.225
_cell_angle_alpha 120.00
_cell_angle_beta 90.00
_cell_angle_gamma 90.00
_symmetry_space_group_name_H-M 'P 1'
_symmetry_Int_Tables_number 1
loop_
_symmetry_equiv_pos_as_xyz
'x,y,z'
loop_
_atom_site_label
_atom_site_type_symbol
_atom_site_fract_x
_atom_site_fract_y
_atom_site_fract_z
La1 La 0.000 0.000 0.000
Pr1 Pr 0.000 0.525 0.049
Pr2 Pr 0.500 0.634 0.817
Pr3 Pr 0.000 0.525 0.475
Pr4 Pr 0.000 0.951 0.475
Pr5 Pr 0.500 0.183 0.817
Pr6 Pr 0.500 0.183 0.366
Dy1 Dy 0.500 0.838 0.676
Dy2 Dy 0.500 0.324 0.162
Dy3 Dy 0.500 0.838 0.162
Dy4 Dy 0.000 0.333 0.667
```

=====

Entry 3:
## Sm4RhPb (PBE)

Data for Sm4RhPb after structural relaxation.

Symmetry: C2/c (15)
E_form: -0.461 eV/atom
Calculated volume: 354 Å³/cell

```
data_Sm4RhPb
_cell_length_a 6.161
_cell_length_b 8.556
_cell_length_c 8.335
_cell_angle_alpha 114.24
_cell_angle_beta 103.12
_cell_angle_gamma 106.14
_symmetry_space_group_name_H-M 'P 1'
_symmetry_Int_Tables_number 1
loop_
_symmetry_equiv_pos_as_xyz
'x,y,z'
loop_
_atom_site_label
_atom_site_type_symbol
_atom_site_fract_x
_atom_site_fract_y
_atom_site_fract_z
Sm1 Sm 0.046 0.206 0.860
Sm2 Sm 0.780 0.707 0.641
Sm3 Sm 0.314 0.654 0.860
Sm4 Sm 0.361 0.934 0.641
Sm5 Sm 0.639 0.066 0.359
Sm6 Sm 0.686 0.346 0.140
Sm7 Sm 0.220 0.293 0.359
Sm8 Sm 0.954 0.794 0.140
Rh1 Rh 0.250 0.000 0.000
Rh2 Rh 0.750 0.000 0.000
Pb1 Pb 0.375 0.625 0.250
Pb2 Pb 0.625 0.375 0.750
```